{
  "formula": "V2CoS4",
  "functional": "meta-GGA SCAN",
  "state": "PBEsol geometry",
  "vol_a3_per_cell": 96,
  "dft_energy_ev_per_atom": -13.881,
  "e_form_raw_kj_per_mol_fu": -615,
  "lattice": [[5.865, -1.588, 0.000], [5.865, 1.588, 0.000], [-2.474, 0.000, 5.132]],
  "species": ["V", "V", "Co", "S", "S", "S", "S"],
  "fractional_positions": [[0.240, 0.240, 0.189], [0.760, 0.760, 0.811], [0.500, 0.500, 0.500], [0.135, 0.135, 0.476], [0.398, 0.398, 0.061], [0.602, 0.602, 0.939], [0.865, 0.865, 0.524]]
}

{
  "formula": "KMn2In",
  "functional": "meta-GGA SCAN",
  "state": "PBEsol geometry",
  "vol_a3_per_cell": 85,
  "dft_energy_ev_per_atom": -19.102,
  "delta_e_f_ev_per_atom": 0.454,
  "lattice": [[1.534, 0.886, 10.478], [-1.534, 0.886, 10.478], [0.000, -1.771, 10.478]],
  "species": ["K", "Mn", "Mn", "In"],
  "fractional_positions": [[0.000, 0.000, 0.000], [0.238, 0.238, 0.238], [0.762, 0.762, 0.762], [0.500, 0.500, 0.500]]
}

{
  "formula": "TaTeS2N",
  "functional": "meta-GGA SCAN",
  "state": "PBEsol geometry",
  "vol_a3_per_cell": 94,
  "dft_energy_ev_per_atom": -25.097,
  "relative_energy_mev_per_atom": 1395.8,
  "e_form_raw_kj_per_mol_fu": 665,
  "lattice": [[4.972, 0.000, 0.000], [0.000, 4.972, 0.000], [0.000, 0.000, 3.823]],
  "species": ["Ta", "Te", "S", "S", "N"],
  "fractional_positions": [[0.000, 0.000, 0.000], [0.500, 0.500, 0.500], [0.000, 0.500, 0.500], [0.500, 0.000, 0.500], [0.500, 0.500, 0.000]]
}

{
  "formula": "MgPW2",
  "functional": "meta-GGA SCAN",
  "state": "PBEsol geometry",
  "vol_a3_per_cell": 58,
  "dft_energy_ev_per_atom": -38.058,
  "delta_e_f_ev_per_atom": 0.629,
  "relative_energy_mev_per_atom": 339.4,
  "lattice": [[2.718, -3.174, 0.000], [2.718, 3.174, 0.000], [0.000, 0.000, 3.378]],
  "species": ["Mg", "P", "W", "W"],
  "fractional_positions": [[0.000, 0.000, 0.000], [0.500, 0.500, 0.000], [0.000, 0.500, 0.500], [0.500, 0.000, 0.500]]
}